This record from Alexandria via LeMat-Bulk describes crystalline Re2OsPt at its relaxed geometry. The functional is PBE.

abc: 4.812 4.812 4.762
angles: 80.27 80.27 33.32
Sites, in units of the cell vectors:
Os1 0.250 0.250 0.250
Pt1 0.750 0.750 0.750
Re1 0.505 0.505 0.488
Re2 0.995 0.995 0.012

Values from the calculation:
* magnetic moment: 0.0 Bohr magnetons per cell
* DOS at the Fermi energy: 3.7 states/eV/f.u.
* offset from the most stable computed form: 143 meV/atom
* formation energy from the elements: 0.038 eV/atom

This record from Alexandria via LeMat-Bulk describes crystalline Re2OsPt at its relaxed geometry. The functional is PBE.

abc: 2.753 2.753 15.767
angles: 90.00 90.00 90.00
Sites, in units of the cell vectors:
Os1 0.750 0.750 0.814
Re1 0.750 0.750 0.063
Re2 0.250 0.250 0.937
Pt1 0.750 0.750 0.569
Re3 0.250 0.250 0.693
Pt2 0.250 0.250 0.431
Os2 0.250 0.250 0.186
Re4 0.750 0.750 0.307

Values from the calculation:
* magnetic moment: 0.0 Bohr magnetons per cell
* DOS at the Fermi energy: 3.8 states/eV/f.u.
* offset from the most stable computed form: 73 meV/atom
* formation energy from the elements: -0.032 eV/atom

This record from Alexandria via LeMat-Bulk describes crystalline Re2OsPt at its relaxed geometry. The functional is PBE.

abc: 4.410 2.767 4.847
angles: 90.00 90.00 90.00
Sites, in units of the cell vectors:
Os1 0.000 0.625 0.457
Re1 0.000 0.125 0.964
Re2 0.500 0.125 0.288
Pt1 0.500 0.625 0.791

Values from the calculation:
* magnetic moment: 0.0 Bohr magnetons per cell
* DOS at the Fermi energy: 2.6 states/eV/f.u.
* offset from the most stable computed form: 0 meV/atom
* formation energy from the elements: -0.105 eV/atom

This record from Alexandria via LeMat-Bulk describes crystalline Re2OsPt at its relaxed geometry. The functional is PBE.

abc: 2.745 3.950 5.501
angles: 90.00 90.00 90.00
Sites, in units of the cell vectors:
Re1 0.000 0.000 0.484
Re2 0.000 0.000 0.016
Pt1 0.500 0.500 0.750
Os1 0.500 0.500 0.250

Values from the calculation:
* magnetic moment: 0.0 Bohr magnetons per cell
* DOS at the Fermi energy: 3.0 states/eV/f.u.
* offset from the most stable computed form: 78 meV/atom
* formation energy from the elements: -0.027 eV/atom

This record from Alexandria via LeMat-Bulk describes crystalline Re2OsPt at its relaxed geometry. The functional is PBE.

abc: 2.735 2.735 7.953
angles: 90.00 90.00 90.01
Sites, in units of the cell vectors:
Os1 0.500 0.500 0.250
Re1 0.000 0.000 0.492
Re2 0.000 0.000 0.008
Pt1 0.500 0.500 0.750

Values from the calculation:
* magnetic moment: 0.0 Bohr magnetons per cell
* DOS at the Fermi energy: 3.3 states/eV/f.u.
* offset from the most stable computed form: 90 meV/atom
* formation energy from the elements: -0.015 eV/atom

This record from Alexandria via LeMat-Bulk describes crystalline ReOs4Pt at its relaxed geometry. The functional is PBE.

abc: 5.095 5.095 5.095
angles: 60.00 60.00 60.00
Sites, in units of the cell vectors:
Os1 0.375 0.874 0.375
Os2 0.375 0.375 0.375
Pt1 0.750 0.750 0.750
Os3 0.874 0.375 0.375
Os4 0.375 0.375 0.874
Re1 0.000 0.000 0.000

Values from the calculation:
* magnetic moment: 0.0 Bohr magnetons per cell
* DOS at the Fermi energy: 7.4 states/eV/f.u.
* formation energy from the elements: 0.730 eV/atom

This record from Alexandria via LeMat-Bulk describes crystalline Re2Os2Pt at its relaxed geometry. The functional is PBE.

abc: 6.268 6.268 6.268
angles: 143.80 143.80 52.13
Sites, in units of the cell vectors:
Pt1 0.000 0.000 0.000
Os1 0.608 0.608 0.000
Os2 0.392 0.392 0.000
Re1 0.750 0.250 0.500
Re2 0.250 0.750 0.500

Values from the calculation:
* magnetic moment: 0.0 Bohr magnetons per cell
* DOS at the Fermi energy: 3.9 states/eV/f.u.
* offset from the most stable computed form: 371 meV/atom
* formation energy from the elements: 0.551 eV/atom

This record from Alexandria via LeMat-Bulk describes crystalline Re3OsPt at its relaxed geometry. The functional is PBE.

abc: 4.655 4.655 4.655
angles: 90.00 90.00 90.00
Sites, in units of the cell vectors:
Pt1 0.500 0.500 0.500
Os1 0.000 0.000 0.000
Re1 0.500 0.000 0.000
Re2 0.000 0.500 0.000
Re3 0.000 0.000 0.500

Values from the calculation:
* magnetic moment: 0.0 Bohr magnetons per cell
* DOS at the Fermi energy: 6.3 states/eV/f.u.
* offset from the most stable computed form: 0 meV/atom
* formation energy from the elements: 2.230 eV/atom

This record from Alexandria via LeMat-Bulk describes crystalline Re2OsPt at its relaxed geometry. The functional is PBE.

abc: 5.644 5.644 6.876
angles: 65.77 65.77 90.00
Sites, in units of the cell vectors:
Pt1 0.750 0.250 0.500
Pt2 0.000 0.000 0.000
Re1 0.132 0.625 0.250
Re2 0.618 0.125 0.250
Os1 0.250 0.750 0.500
Re3 0.375 0.382 0.750
Os2 0.500 0.500 0.000
Re4 0.875 0.868 0.750

Values from the calculation:
* magnetic moment: 0.0 Bohr magnetons per cell
* DOS at the Fermi energy: 6.6 states/eV/f.u.
* offset from the most stable computed form: 1362 meV/atom
* formation energy from the elements: 1.257 eV/atom

This record from Alexandria via LeMat-Bulk describes crystalline Re2OsPt at its relaxed geometry. The functional is PBE.

abc: 9.202 9.202 9.202
angles: 17.24 17.24 17.24
Sites, in units of the cell vectors:
Re1 0.999 0.999 0.999
Re2 0.249 0.249 0.249
Os1 0.502 0.502 0.502
Pt1 0.750 0.750 0.750

Values from the calculation:
* magnetic moment: 0.0 Bohr magnetons per cell
* DOS at the Fermi energy: 3.9 states/eV/f.u.
* offset from the most stable computed form: 140 meV/atom
* formation energy from the elements: 0.035 eV/atom

This record from Alexandria via LeMat-Bulk describes crystalline Re2OsPt at its relaxed geometry. The functional is PBE.

abc: 4.793 4.793 2.756
angles: 90.00 90.00 110.38
Sites, in units of the cell vectors:
Re1 0.000 0.000 0.000
Os1 0.500 0.000 0.500
Re2 0.500 0.500 0.000
Pt1 0.000 0.500 0.500

Values from the calculation:
* magnetic moment: 0.0 Bohr magnetons per cell
* DOS at the Fermi energy: 4.4 states/eV/f.u.
* offset from the most stable computed form: 130 meV/atom
* formation energy from the elements: 0.025 eV/atom

This record from Alexandria via LeMat-Bulk describes crystalline Re2Os2Pt at its relaxed geometry. The functional is PBE.

abc: 7.521 7.521 2.766
angles: 90.00 90.00 90.00
Sites, in units of the cell vectors:
Re1 0.166 0.666 0.500
Pt1 0.500 0.500 0.000
Re2 0.334 0.166 0.500
Os1 0.873 0.627 0.000
Os2 0.627 0.127 0.000
Re3 0.834 0.334 0.500
Pt2 0.000 0.000 0.000
Os3 0.127 0.373 0.000
Os4 0.373 0.873 0.000
Re4 0.666 0.834 0.500

Values from the calculation:
* magnetic moment: 0.0 Bohr magnetons per cell
* DOS at the Fermi energy: 3.3 states/eV/f.u.
* offset from the most stable computed form: 0 meV/atom
* formation energy from the elements: 0.180 eV/atom